The following is a DFT calculation (PBE) of an optimized crystal structure of NbTlP2O.

Output
- uncorrected formation energy (eV/atom) = 1.1778
- crystal system = tetragonal
- symmetry = No. 123
- ΔE to the lowest computed polymorph (eV per atom) = 1.646

Geometry as extended XYZ:
```
5
Lattice="5.0341 0.0000 0.0000 0.0000 5.0341 0.0000 0.0000 0.0000 3.9970" Properties=species:S:1:pos:R:3 pbc="T T T"
Nb 0.0000 0.0000 0.0000
Tl 2.5170 2.5170 1.9985
P 0.0000 2.5170 1.9985
P 2.5170 0.0000 1.9985
O 2.5170 2.5170 0.0000
```